# Be2SeBr

A relaxed Be2SeBr crystal (PBE-GGA, Alexandria via LeMat-Bulk).

Structure (POSCAR):
```
Be2SeBr
1.0
-1.3792 7.3766 -0.6401
-1.2004 5.0407 -5.4659
-1.2942 -6.8765 2.7866
Be Se Br
2 1 1
Direct
0.1593 0.1593 0.0000
0.7774 0.2774 0.5000
0.1825 0.6825 0.5000
0.3808 0.3808 0.0000
```

Properties
DOS(E_F)   0.63 states/eV/f.u.
Raw formation energy   0.103 eV per atom
DFT total energy   -3.050 eV per atom
Volume   99.9 Å³/cell
Relative energy among the computed polymorphs   400 meV per atom
Size of the total moment   0.0 μB per cell



# Pr4Y15Er

A relaxed Pr4Y15Er crystal (PBE-GGA, Alexandria via LeMat-Bulk).

Structure (POSCAR):
```
Pr4Y15Er
1.0
5.0928 0.0000 0.0000
0.0000 5.0928 0.0000
0.0000 0.0000 25.3618
Y Er Pr
15 1 4
Direct
0.5000 0.5000 0.1982
0.0000 0.5000 0.0978
0.5000 0.0000 0.7011
0.5000 0.5000 0.6004
0.5000 0.0000 0.9022
0.0000 0.5000 0.5000
0.5000 0.0000 0.0978
0.5000 0.0000 0.2989
0.5000 0.5000 0.0000
0.5000 0.5000 0.3996
0.0000 0.5000 0.7011
0.0000 0.5000 0.9022
0.0000 0.5000 0.2989
0.5000 0.5000 0.8018
0.5000 0.0000 0.5000
0.0000 0.0000 0.0000
0.0000 0.0000 0.3995
0.0000 0.0000 0.8011
0.0000 0.0000 0.1989
0.0000 0.0000 0.6005
```

Properties
DOS(E_F)   29.81 states/eV/f.u.
DFT total energy   -6.010 eV per atom
Volume   657.8 Å³/cell
Size of the total moment   0.0 μB per cell



# Tb3ScHg5

A relaxed Tb3ScHg5 crystal (PBE-GGA, Alexandria via LeMat-Bulk).

Structure (POSCAR):
```
Tb3ScHg5
1.0
6.3529 0.0000 0.0000
0.0000 7.8498 -4.5322
0.0000 0.0001 9.0642
Hg Tb Sc
10 6 2
Direct
0.7500 0.7084 0.7084
0.7500 0.2916 0.0000
0.5000 0.6667 0.3333
0.7500 0.0000 0.2916
0.0000 0.3333 0.6667
0.2500 0.0000 0.7084
0.5000 0.3333 0.6667
0.0000 0.6667 0.3333
0.2500 0.7084 0.0000
0.2500 0.2916 0.2916
0.2500 0.3681 0.0000
0.7500 0.6319 0.0000
0.7500 0.3681 0.3681
0.7500 0.0000 0.6319
0.2500 0.0000 0.3681
0.2500 0.6319 0.6319
0.0000 0.0000 0.0000
0.5000 0.0000 0.0000
```

Properties
DOS(E_F)   7.95 states/eV/f.u.
DFT total energy   -2.840 eV per atom
Volume   452.0 Å³/cell
Size of the total moment   0.0 μB per cell



# Na3Ti2P3O12

A relaxed Na3Ti2P3O12 crystal (PBE-GGA, Alexandria via LeMat-Bulk).

Structure (POSCAR):
```
Na3Ti2P3O12
1.0
-1.1333 0.6780 -9.0157
-3.8187 -6.7451 -4.7903
-8.2974 0.9237 -3.6505
P O Na Ti
6 24 6 4
Direct
0.9621 0.2481 0.5379
0.7519 0.4621 0.0379
0.0379 0.7519 0.4621
0.2481 0.5379 0.9621
0.5379 0.9621 0.2481
0.4621 0.0379 0.7519
0.0130 0.7758 0.6302
0.8574 0.7510 0.4827
0.7510 0.4827 0.8574
0.1426 0.2490 0.5173
0.6302 0.0130 0.7758
0.8038 0.4284 0.5566
0.9870 0.2242 0.3698
0.0784 0.9146 0.2857
0.2490 0.5173 0.1426
0.9146 0.2857 0.0784
0.5716 0.4434 0.1962
0.1962 0.5716 0.4434
0.4827 0.8574 0.7510
0.5173 0.1426 0.2490
0.2857 0.0784 0.9146
0.9216 0.0854 0.7143
0.4284 0.5566 0.8038
0.4434 0.1962 0.5716
0.3698 0.9870 0.2242
0.7143 0.9216 0.0854
0.0854 0.7143 0.9216
0.7758 0.6302 0.0130
0.2242 0.3698 0.9870
0.5566 0.8038 0.4284
0.1073 0.3585 0.7491
0.8927 0.6415 0.2509
0.6415 0.2509 0.8927
0.2509 0.8927 0.6415
0.7491 0.1073 0.3585
0.3585 0.7491 0.1073
0.6496 0.6496 0.6496
0.3504 0.3504 0.3504
0.1489 0.1489 0.1489
0.8511 0.8511 0.8511
```

Properties
DOS(E_F)   10.01 states/eV/f.u.
Raw formation energy   -2.404 eV per atom
DFT total energy   -7.178 eV per atom
Volume   521.0 Å³/cell
Size of the total moment   4.0 μB per cell